[1]
Here is a relaxed CsCuSn3 crystal from the Alexandria database. Energies are from GGA-PBE.

Summary:
Space-group type: Pm-3m (221)
Volume (Å³/f.u.): 155.88
Magnetic moment (μB/atom): 0.000
Energy above the most stable polymorph in this dataset (meV per atom): 286.6

Cell and atoms, written as POSCAR:
```
CsCuSn3
1.0
5.382 0.000 0.000
0.000 5.382 0.000
0.000 0.000 5.382
Cs Cu Sn
1 1 3
Direct
0.000 0.000 0.000 Cs
0.500 0.500 0.500 Cu
0.000 0.500 0.500 Sn
0.500 0.000 0.500 Sn
0.500 0.500 0.000 Sn
```

***

[2]
Here is a relaxed Sc5Co2Pd2 crystal from the Alexandria database. Energies are from GGA-PBE.

Summary:
Space-group type: Cmce (64)
Volume (Å³/f.u.): 164.36
Raw total energy (eV per atom): -6.776
Magnetic moment (μB/atom): 0.000

Cell and atoms, written as POSCAR:
```
Sc5Co2Pd2
1.0
7.272 -3.353 0.000
7.272 3.353 0.000
0.000 0.000 6.741
Sc Co Pd
10 4 4
Direct
0.000 0.000 0.000 Sc
0.054 0.684 0.685 Sc
0.184 0.554 0.185 Sc
0.316 0.946 0.685 Sc
0.446 0.816 0.185 Sc
0.500 0.500 0.500 Sc
0.554 0.184 0.815 Sc
0.684 0.054 0.315 Sc
0.816 0.446 0.815 Sc
0.946 0.316 0.315 Sc
0.116 0.884 0.384 Co
0.384 0.616 0.884 Co
0.616 0.384 0.116 Co
0.884 0.116 0.616 Co
0.218 0.218 0.000 Pd
0.282 0.282 0.500 Pd
0.718 0.718 0.500 Pd
0.782 0.782 0.000 Pd
```

***

[3]
Here is a relaxed Hf12AlIn3 crystal from the Alexandria database. Energies are from GGA-PBE.

Summary:
Space-group type: P4/mmm (123)
Volume (Å³/f.u.): 341.68
Raw total energy (eV per atom): -8.377
Magnetic moment (μB/atom): 0.000

Cell and atoms, written as POSCAR:
```
Hf12AlIn3
1.0
4.408 0.000 0.000
0.000 4.408 0.000
0.000 0.000 17.583
Hf Al In
12 1 3
Direct
0.000 0.000 0.000 Hf
0.000 0.000 0.247 Hf
0.000 0.000 0.500 Hf
0.000 0.000 0.753 Hf
0.000 0.500 0.120 Hf
0.000 0.500 0.374 Hf
0.000 0.500 0.626 Hf
0.000 0.500 0.880 Hf
0.500 0.000 0.120 Hf
0.500 0.000 0.374 Hf
0.500 0.000 0.626 Hf
0.500 0.000 0.880 Hf
0.500 0.500 0.000 Al
0.500 0.500 0.247 In
0.500 0.500 0.500 In
0.500 0.500 0.753 In
```

***

[4]
Here is a relaxed CaIn4Hg3 crystal from the Alexandria database. Energies are from GGA-PBE.

Summary:
Space-group type: P-1 (2)
Volume (Å³/f.u.): 209.32
Raw total energy (eV per atom): -1.908
Magnetic moment (μB/atom): 0.000

Cell and atoms, written as POSCAR:
```
CaIn4Hg3
1.0
4.437 0.000 0.000
0.013 4.822 0.000
2.216 2.171 9.782
Ca In Hg
1 4 3
Direct
0.000 0.000 0.000 Ca
0.128 0.620 0.742 In
0.247 0.246 0.504 In
0.753 0.754 0.496 In
0.872 0.380 0.258 In
0.378 0.888 0.244 Hg
0.500 0.500 0.000 Hg
0.622 0.112 0.756 Hg
```